This record from the Alexandria database describes a relaxed structure of TmTlCuHg. The functional is PBE-GGA.

Calculated values
Spin magnetization, μB/f.u.: 0.0
Theoretical density, kg/m3: 12107
Formation energy, eV/atom: -0.11

```
4
Lattice="0.000 3.523 3.523 3.523 0.000 3.523 3.523 3.523 0.000" Properties=species:S:1:pos:R:3 pbc="T T T"
Tm 0.000 0.000 0.000
Tl 3.523 3.523 3.523
Cu 1.761 1.761 1.761
Hg 5.284 5.284 5.284
```